No. 1
Computed, not measured: a relaxed TmThCS crystal at the PBE-GGA level of DFT.

Values from the calculation:
M_tot: 0.00 Bohr magnetons per cell
E_form (uncorrected): -1.242 eV per atom

Unit cell a=3.7625 b=3.7625 c=19.3712 alpha=90.00 beta=90.00 gamma=120.00
Space group R3m (No. 160, hexagonal axes)
One atom of each set of equivalent atoms:
Tm1 0.0000 0.0000 0.0000 x3
Th1 0.0000 0.0000 0.5248 x3
C1 0.0000 0.0000 0.2630 x3
S1 0.0000 0.0000 0.7557 x3

=====

No. 2
Computed, not measured: a relaxed BrF crystal at the PBE-GGA level of DFT.

Values from the calculation:
M_tot: 8.00 Bohr magnetons per cell
E_form (uncorrected): 0.252 eV per atom

Unit cell a=5.933 b=5.933 c=5.933 alpha=90.00 beta=90.00 gamma=90.00
Space group F-43m (No. 216)
One atom of each set of equivalent atoms:
Br1 0.000 0.000 0.000 x4
F1 0.250 0.250 0.250 x4

=====

No. 3
Computed, not measured: a relaxed Sr2ScP crystal at the PBE-GGA level of DFT.

Values from the calculation:
M_tot: 0.00 Bohr magnetons per cell
energy of formation from the pure elements: -1.4 eV per formula unit

Unit cell a=11.165 b=11.165 c=5.027 alpha=90.00 beta=90.00 gamma=90.00
Space group I-42d (No. 122)
One atom of each set of equivalent atoms:
Sr1 0.099 0.250 0.125 x8
Sc1 0.000 0.000 0.500 x4
P1 0.000 0.000 0.000 x4

=====

No. 4
Computed, not measured: a relaxed OsPb6O12 crystal at the PBE-GGA level of DFT.

Values from the calculation:
M_tot: 0.00 Bohr magnetons per cell
E_form (uncorrected): -0.963 eV per atom

Unit cell a=10.0819 b=10.0819 c=9.7274 alpha=90.00 beta=90.00 gamma=120.00
Space group R-3 (No. 148, hexagonal axes)
One atom of each set of equivalent atoms:
Os1 0.0000 0.0000 0.0000 x3
Pb1 0.0500 0.2609 0.6491 x18
O1 0.0381 0.2212 0.3969 x18
O2 0.0398 0.1801 0.8945 x18

=====

No. 5
Computed, not measured: a relaxed Ba2LiP3Pt4 crystal at the PBE-GGA level of DFT.

Values from the calculation:
M_tot: 0.00 Bohr magnetons per cell
energy of formation from the pure elements: -7.9 eV per formula unit

Unit cell a=4.397 b=4.397 c=9.994 alpha=90.00 beta=90.00 gamma=90.00
Space group P-4m2 (No. 115)
One atom of each set of equivalent atoms:
Ba1 0.000 0.500 0.244 x2
Li1 0.500 0.500 0.000 x1
P1 0.000 0.000 0.000 x1
P2 0.000 0.500 0.625 x2
Pt1 0.000 0.000 0.500 x1
Pt2 0.000 0.500 0.877 x2
Pt3 0.500 0.500 0.500 x1

=====

No. 6
Computed, not measured: a relaxed NdDyYZn crystal at the PBE-GGA level of DFT.

Values from the calculation:
M_tot: 0.00 Bohr magnetons per cell
energy of formation from the pure elements: -0.7 eV per formula unit
relative energy among the computed polymorphs: 0 meV per atom

Unit cell a=3.595 b=3.595 c=8.747 alpha=90.00 beta=90.00 gamma=90.00
Space group P4mm (No. 99)
One atom of each set of equivalent atoms:
Nd1 0.000 0.000 0.000 x1
Dy1 0.500 0.500 0.296 x1
Y1 0.500 0.500 0.700 x1
Zn1 0.000 0.000 0.497 x1